Record 1
A geometry-optimized Sm3BiAs2 structure. Source: Alexandria via LeMat-Bulk, functional PBE-GGA. Values from VASP.

```
&SYSTEM
  ibrav = 0, nat = 12, ntyp = 3
/
ATOMIC_SPECIES
Sm 150.36 Sm.upf
Bi 208.98 Bi.upf
As 74.92 As.upf
CELL_PARAMETERS angstrom
-0.0496 4.7211 -2.2362
-6.2533 -2.8884 0.1639
-1.7439 4.2889 9.0934
ATOMIC_POSITIONS angstrom
Sm -1.6983 2.4324 -0.9290
Sm -2.5668 3.1141 6.6273
Sm -2.4047 4.1696 2.7542
Sm -5.4799 3.0074 0.3938
Sm -6.3484 3.6892 7.9501
Sm -5.6420 1.9520 4.2669
Bi -3.1676 0.8413 1.8589
Bi -4.8791 5.2803 5.1622
As 0.0000 0.0000 0.0000
As -0.8719 2.1444 4.5467
As -6.3088 0.5756 1.3821
As -1.7379 5.5459 5.6389
```

Calculated values
* ΔE_f: -929.5 meV per atom
* magnetization: 0.00 μB/f.u.
* volume: 339.7 Å³ per cell



Record 2
A geometry-optimized Sm5BiAs4 structure. Source: Alexandria via LeMat-Bulk, functional PBE-GGA. Values from VASP.

```
&SYSTEM
  ibrav = 0, nat = 10, ntyp = 3
/
ATOMIC_SPECIES
Sm 150.36 Sm.upf
Bi 208.98 Bi.upf
As 74.92 As.upf
CELL_PARAMETERS angstrom
-1.0702 -0.2205 4.1207
0.7510 -7.1084 2.0199
8.5167 -0.3903 4.3962
ATOMIC_POSITIONS angstrom
Sm 6.3108 -6.7241 5.6896
Sm 1.8867 -0.9950 4.8472
Sm 7.4117 -2.7470 6.1883
Sm 4.6338 -3.7493 3.2080
Sm 0.7858 -4.9721 4.3485
Bi 0.0000 0.0000 0.0000
As 4.6318 -1.8139 5.5163
As 1.8162 -2.9036 2.5216
As 6.3813 -4.8155 8.0153
As 3.5657 -5.9052 5.0205
```

Calculated values
* ΔE_f: -1385.5 meV per atom
* magnetization: 0.00 μB/f.u.
* volume: 277.8 Å³ per cell



Record 3
A geometry-optimized Sm5Bi4As structure. Source: Alexandria via LeMat-Bulk, functional PBE-GGA. Values from VASP.

```
&SYSTEM
  ibrav = 0, nat = 10, ntyp = 3
/
ATOMIC_SPECIES
Sm 150.36 Sm.upf
Bi 208.98 Bi.upf
As 74.92 As.upf
CELL_PARAMETERS angstrom
6.3636 0.0000 0.0000
3.1818 7.0962 0.0000
3.1818 0.0000 7.0962
ATOMIC_POSITIONS angstrom
Sm 9.5518 2.7108 5.7678
Sm 6.3700 5.7678 4.3853
Sm 6.3700 1.3284 2.7108
Sm 3.1882 4.3853 1.3284
Sm 3.1892 0.0000 0.0000
Bi 6.3701 2.8194 5.6203
Bi 9.5519 5.6203 4.2768
Bi 3.1883 1.4759 2.8194
Bi 6.3701 4.2768 1.4759
As 0.0067 0.0000 0.0000
```

Calculated values
* ΔE_f: -1020.6 meV per atom
* magnetization: 0.00 μB/f.u.
* ΔE to the lowest computed polymorph: 0.0 meV per atom
* volume: 320.4 Å³ per cell